# 1
TlMoRu2 | Alexandria via LeMat-Bulk | PBE | optimized geometry; E_form = 539 meV/atom; SG = No. 160
1.0
1.4411 0.8320 9.1932
-1.4411 0.8320 9.1932
0.0000 -1.6641 9.1932
Tl Mo Ru
1 1 2
Cartesian
0.0000 0.0000 0.0000 Tl
0.0000 0.0000 20.9388 Mo
0.0000 0.0000 6.7896 Ru
0.0000 0.0000 13.8795 Ru

# 2
Ho3Er2Th4 | Alexandria via LeMat-Bulk | PBE | optimized geometry; E_form = 142 meV/atom; SG = No. 15
1.0
8.1610 -5.1873 0.0000
8.1610 5.1873 0.0000
-1.4788 0.0000 6.7959
Ho Er Th
6 4 8
Cartesian
7.0519 5.1776 5.0969 Ho
5.2668 0.0165 1.1564 Ho
4.5274 -0.0165 4.5543 Ho
10.3157 0.0165 2.2416 Ho
9.5763 -0.0165 5.6395 Ho
7.7913 -5.1776 1.6990 Ho
2.3408 1.8000 2.2692 Er
12.5024 -1.8000 4.5267 Er
1.6014 -1.8000 5.6671 Er
13.2417 1.8000 1.1288 Er
1.5698 1.7755 5.6920 Th
8.1546 1.8245 0.0108 Th
7.4279 1.8245 3.3871 Th
2.3092 -1.7755 2.2941 Th
12.5339 1.7755 4.5017 Th
7.4152 -1.8245 3.4087 Th
6.6885 -1.8245 6.7850 Th
13.2733 -1.7755 1.1038 Th

# 3
Pm2PaS5 | Alexandria via LeMat-Bulk | PBE | optimized geometry; uncorrected formation energy = -1.9249 eV/atom; SG = No. 62
1.0
11.9789 0.0000 0.0000
0.0000 8.0360 0.0000
0.0000 0.0000 7.4807
Pm Pa S
8 4 20
Cartesian
2.1333 8.0336 0.1736 Pm
2.1333 4.0204 0.1736 Pm
3.8561 0.0024 3.9140 Pm
3.8561 4.0156 3.9140 Pm
8.1228 8.0336 3.5667 Pm
8.1228 4.0204 3.5667 Pm
9.8456 0.0024 7.3071 Pm
9.8456 4.0156 7.3071 Pm
0.0871 2.0090 4.2790 Pa
5.9024 6.0270 0.5386 Pa
6.0765 2.0090 6.9421 Pa
11.8919 6.0270 3.2017 Pa
0.0084 2.0090 7.1335 S
1.1702 4.3546 4.9527 S
1.1702 7.6993 4.9527 S
2.2129 2.0090 2.4648 S
2.5605 6.0270 2.2692 S
3.4290 2.0090 6.0095 S
3.7766 6.0270 6.2052 S
4.8193 0.3367 1.2123 S
4.8193 3.6813 1.2123 S
5.9810 6.0270 3.3931 S
5.9979 2.0090 4.0876 S
7.1597 4.3546 6.2684 S
7.1597 7.6993 6.2684 S
8.2023 2.0090 1.2755 S
8.5499 6.0270 1.4712 S
9.4185 2.0090 5.2115 S
9.7660 6.0270 5.0159 S
10.8087 0.3367 2.5280 S
10.8087 3.6813 2.5280 S
11.9705 6.0270 0.3472 S

# 4
Ba3LiAu2 | Alexandria via LeMat-Bulk | PBE | optimized geometry; E_form = -481 meV/atom; SG = No. 167
1.0
4.5337 2.6175 6.5526
-4.5337 2.6175 6.5526
0.0000 -5.2351 6.5526
Ba Li Au
6 2 4
Cartesian
-3.2389 -0.3748 8.1908 Ba
-1.2948 -2.9924 11.4671 Ba
1.9441 -2.6175 8.1908 Ba
-1.9441 2.6175 11.4671 Ba
1.2948 2.9924 8.1908 Ba
3.2389 0.3748 11.4671 Ba
0.0000 0.0000 0.0000 Li
0.0000 0.0000 9.8289 Li
0.0000 0.0000 2.6566 Au
0.0000 0.0000 7.1724 Au
0.0000 0.0000 12.4855 Au
0.0000 0.0000 17.0013 Au